# NaVZnP2O9

A geometry-optimized NaVZnP2O9 structure (PBE with a Hubbard U, the Alexandria database).

Cell: 8.8524 8.9975 9.0187 Å, 90.00 92.46 90.00°
With the nearest neighbours (Å) after each atom.
Positions (direct):
Na  0.1898  0.0349  0.0392  5 O 2.27-2.54
Na  0.1898  0.4651  0.5392  5 O 2.27-2.54
Na  0.8102  0.5349  0.4608  5 O 2.27-2.54
Na  0.8102  0.9651  0.9608  5 O 2.27-2.54
V  0.4220  0.0014  0.7483  1 O 1.62
V  0.4220  0.4986  0.2483  1 O 1.62
V  0.5780  0.5014  0.7517  1 O 1.62
V  0.5780  0.9986  0.2517  1 O 1.62
Zn  0.0434  0.6331  0.1074  4 O 1.98-2.20
Zn  0.0434  0.8669  0.6074  4 O 1.98-2.20
Zn  0.9566  0.1331  0.3926  4 O 1.98-2.20
Zn  0.9566  0.3669  0.8926  4 O 1.98-2.20
P  0.0495  0.1433  0.7306  4 O 1.52-1.59
P  0.0495  0.3567  0.2306  4 O 1.52-1.59
P  0.4871  0.7490  0.5013  4 O 1.55-1.56
P  0.4871  0.7510  0.0013  4 O 1.55-1.56
P  0.5129  0.2490  0.9987  4 O 1.55-1.56
P  0.5129  0.2510  0.4987  4 O 1.55-1.56
P  0.9505  0.6433  0.7694  4 O 1.52-1.59
P  0.9505  0.8567  0.2694  4 O 1.52-1.59
O  0.0286  0.6438  0.6173  1 P 1.56
O  0.0286  0.8562  0.1173  1 P 1.56
O  0.0643  0.5872  0.8947  1 P 1.57
O  0.0643  0.9128  0.3947  1 P 1.57
O  0.1055  0.1985  0.2089  1 P 1.52
O  0.1055  0.3015  0.7089  1 P 1.52
O  0.1758  0.0174  0.7349  1 P 1.59
O  0.1758  0.4826  0.2349  1 P 1.59
O  0.3790  0.6475  0.4065  1 P 1.55
O  0.3790  0.8525  0.9065  1 P 1.55
O  0.3875  0.6552  0.1021  1 P 1.55
O  0.3875  0.8448  0.6021  1 P 1.55
O  0.3962  0.0092  0.2303  1 V 1.62
O  0.3962  0.4908  0.7303  1 V 1.62
O  0.3978  0.1537  0.9038  1 P 1.56
O  0.3978  0.3463  0.4038  1 P 1.56
O  0.4151  0.1511  0.5967  1 P 1.55
O  0.4151  0.3489  0.0967  1 P 1.55
O  0.5849  0.6511  0.9033  1 P 1.55
O  0.5849  0.8489  0.4033  1 P 1.55
O  0.6022  0.6537  0.5962  1 P 1.56
O  0.6022  0.8463  0.0962  1 P 1.56
O  0.6038  0.5092  0.2697  1 V 1.62
O  0.6038  0.9908  0.7697  1 V 1.62
O  0.6125  0.1552  0.3979  1 P 1.55
O  0.6125  0.3448  0.8979  1 P 1.55
O  0.6210  0.1475  0.0935  1 P 1.55
O  0.6210  0.3525  0.5935  1 P 1.55
O  0.8242  0.5174  0.7651  1 P 1.59
O  0.8242  0.9826  0.2651  1 P 1.59
O  0.8945  0.6985  0.2911  1 P 1.52
O  0.8945  0.8015  0.7911  1 P 1.52
O  0.9357  0.0872  0.6053  1 P 1.57
O  0.9357  0.4128  0.1053  1 P 1.57
O  0.9714  0.1438  0.8827  1 P 1.56
O  0.9714  0.3562  0.3827  1 P 1.56

Calculated values
E: -93.6 eV per formula unit